Record 1
The following is a PBE calculation of BaNa2Pb after structural relaxation, from Alexandria via LeMat-Bulk.

Output
The volume comes out at 40.392 Å³/atom. For the mass density, the calculation gives 4.01 g/cm³. The calculated total energy comes out at -0.1587 Ry per atom. Its density of states at the Fermi level is 8.1 states/eV per cell.

Lattice parameters (Å, degrees): 12.693 12.693 12.693 156.57 156.57 33.38
Sites, in units of the cell vectors:
1 Ba 0.000 0.000 0.000
2 Ba 0.750 0.250 0.500
3 Na 0.198 0.625 0.073
4 Na 0.375 0.448 0.573
5 Na 0.552 0.125 0.927
6 Na 0.875 0.802 0.427
7 Pb 0.250 0.750 0.500
8 Pb 0.500 0.500 0.000

***

Record 2
The following is a PBE calculation of In5Cu after structural relaxation, from Alexandria via LeMat-Bulk.

Output
The volume comes out at 25.692 Å³/atom. For the mass density, the calculation gives 6.87 g/cm³. The calculated total energy comes out at -0.2114 Ry per atom. Its density of states at the Fermi level is 1.6 states/eV per cell.

Lattice parameters (Å, degrees): 5.081 9.138 9.138 21.31 90.00 90.00
Sites, in units of the cell vectors:
1 In 0.000 0.000 0.000
2 In 0.000 0.249 0.249
3 In 0.500 0.124 0.124
4 In 0.500 0.453 0.453
5 In 0.500 0.796 0.796
6 Cu 0.000 0.624 0.624

***

Record 3
The following is a PBE calculation of Cs3ThSn2Te6 after structural relaxation, from Alexandria via LeMat-Bulk.

Output
The volume comes out at 41.965 Å³/atom. For the mass density, the calculation gives 5.39 g/cm³. The calculated total energy comes out at -0.2878 Ry per atom. Its density of states at the Fermi level is 6.4 states/eV per cell. As for the uncorrected formation energy: -0.85 eV/atom.

Lattice parameters (Å, degrees): 8.095 8.095 9.272 98.35 98.35 119.98
Sites, in units of the cell vectors:
1 Cs 0.000 0.000 0.000
2 Cs 0.331 0.669 0.000
3 Cs 0.669 0.331 0.000
4 Th 0.500 0.500 0.500
5 Sn 0.166 0.834 0.500
6 Sn 0.834 0.166 0.500
7 Te 0.107 0.437 0.311
8 Te 0.234 0.234 0.690
9 Te 0.437 0.107 0.311
10 Te 0.563 0.893 0.689
11 Te 0.766 0.766 0.310
12 Te 0.893 0.563 0.689

***

Record 4
The following is a PBE calculation of LaPmY after structural relaxation, from Alexandria via LeMat-Bulk.

Output
The volume comes out at 34.799 Å³/atom. For the mass density, the calculation gives 5.93 g/cm³. The calculated total energy comes out at -0.3877 Ry per atom. Its density of states at the Fermi level is 14.3 states/eV per cell.

Lattice parameters (Å, degrees): 4.266 4.266 11.473 90.00 90.00 90.00
Sites, in units of the cell vectors:
1 La 0.250 0.250 0.094
2 La 0.750 0.750 0.906
3 Pm 0.250 0.250 0.414
4 Pm 0.750 0.750 0.586
5 Y 0.250 0.250 0.741
6 Y 0.750 0.750 0.259

***

Record 5
The following is a PBE calculation of In2AgPt after structural relaxation, from Alexandria via LeMat-Bulk.

Output
The volume comes out at 19.191 Å³/atom. For the mass density, the calculation gives 11.52 g/cm³. The calculated total energy comes out at -0.2780 Ry per atom. Its density of states at the Fermi level is 1.0 states/eV per cell.

Lattice parameters (Å, degrees): 4.770 4.770 4.770 60.00 60.00 60.00
Sites, in units of the cell vectors:
1 In 0.250 0.250 0.250
2 In 0.750 0.750 0.750
3 Ag 0.000 0.000 0.000
4 Pt 0.500 0.500 0.500

***

Record 6
The following is a PBE calculation of Er2Mg3Cd3 after structural relaxation, from Alexandria via LeMat-Bulk.

Output
The volume comes out at 23.209 Å³/atom. For the mass density, the calculation gives 6.66 g/cm³. The calculated total energy comes out at -0.1708 Ry per atom. Its density of states at the Fermi level is 2.6 states/eV per cell.

Lattice parameters (Å, degrees): 8.811 8.811 8.811 33.51 33.51 33.51
Sites, in units of the cell vectors:
1 Er 0.000 0.000 0.000
2 Er 0.495 0.495 0.495
3 Mg 0.248 0.248 0.248
4 Mg 0.747 0.747 0.747
5 Mg 0.873 0.873 0.873
6 Cd 0.126 0.126 0.126
7 Cd 0.372 0.372 0.372
8 Cd 0.619 0.619 0.619

***

Record 7
The following is a PBE calculation of Ba4TePtBr2 after structural relaxation, from Alexandria via LeMat-Bulk.

Output
The volume comes out at 40.785 Å³/atom. For the mass density, the calculation gives 5.25 g/cm³. The calculated total energy comes out at -0.2933 Ry per atom. Its density of states at the Fermi level is 5.3 states/eV per cell. As for the uncorrected formation energy: -1.46 eV/atom.

Lattice parameters (Å, degrees): 8.482 4.699 8.563 90.00 107.06 90.00
Sites, in units of the cell vectors:
1 Ba 0.221 0.000 0.221
2 Ba 0.221 0.500 0.769
3 Ba 0.779 0.000 0.779
4 Ba 0.779 0.500 0.231
5 Te 0.000 0.000 0.500
6 Pt 0.000 0.500 0.000
7 Br 0.500 0.000 0.000
8 Br 0.500 0.500 0.500

***

Which of these has the highest mass density?
In2AgPt